YNb3Mo | GGA-PBE | relaxed

Values from the calculation:
The value obtained for the final energy is -8.68 eV per atom. Its calculated formation energy is 0.820 eV/atom. The value obtained for the distance to the lowest polymorph of the same formula is 0.0 kJ per mole of atoms. The value obtained for the total magnetization is 0.0 μB per cell. As for the crystal system: cubic. Its symmetry is Pm-3m.

The structure in POSCAR format:
```
YNb3Mo
1.0
4.9092 0.0000 0.0000
0.0000 4.9092 0.0000
0.0000 0.0000 4.9092
Y Nb Mo
1 3 1
direct
0.0000 0.0000 0.0000
0.0000 0.5000 0.5000
0.5000 0.0000 0.5000
0.5000 0.5000 0.0000
0.5000 0.5000 0.5000
```

=====

YAl2SiC | GGA-PBE | relaxed

Values from the calculation:
The value obtained for the final energy is -5.81 eV per atom. The calculation puts the formation energy from raw total energies at -92 meV/atom. The value obtained for the total magnetization is 0.0 μB per cell. As for the crystal system: tetragonal. Its symmetry is P4/mmm.

The structure in POSCAR format:
```
YAl2SiC
1.0
4.0517 0.0000 0.0000
0.0000 4.0517 0.0000
0.0000 0.0000 4.9823
Y Al Si C
1 2 1 1
direct
0.0000 0.0000 0.0000
0.0000 0.5000 0.5000
0.5000 0.0000 0.5000
0.5000 0.5000 0.0000
0.0000 0.0000 0.5000
```

=====

ReTcN2 | GGA-PBE | relaxed

Values from the calculation:
The value obtained for the final energy is -9.59 eV per atom. The calculation puts the formation energy from raw total energies at 280 meV/atom. The value obtained for the distance to the lowest polymorph of the same formula is 0.0 kJ per mole of atoms. The value obtained for the total magnetization is 0.0 μB per cell. As for the crystal system: trigonal. Its symmetry is R-3m.

The structure in POSCAR format:
```
ReTcN2
1.0
1.3869 0.8007 6.6813
-1.3869 0.8007 6.6813
0.0000 -1.6015 6.6813
Re Tc N
1 1 2
direct
0.0000 0.0000 0.0000
0.5000 0.5000 0.5000
0.0990 0.0990 0.0990
0.9010 0.9010 0.9010
```

=====

Sr2LiAl3Ag12 | GGA-PBE | relaxed

Values from the calculation:
The value obtained for the final energy is -2.64 eV per atom. Its calculated formation energy is 0.174 eV/atom. The value obtained for the total magnetization is 0.0 μB per cell. As for the crystal system: trigonal. Its symmetry is R-3m.

The structure in POSCAR format:
```
Sr2LiAl3Ag12
1.0
4.3580 2.5161 6.6474
-4.3580 2.5161 6.6474
0.0000 -5.0322 6.6474
Sr Li Al Ag
2 1 3 12
direct
0.1171 0.1171 0.1171
0.8829 0.8829 0.8829
0.5000 0.5000 0.5000
0.0000 0.5000 0.5000
0.5000 0.0000 0.5000
0.5000 0.5000 0.0000
0.1375 0.6231 0.6231
0.1420 0.1420 0.6047
0.1420 0.6047 0.1420
0.3769 0.3769 0.8625
0.3769 0.8625 0.3769
0.3953 0.8580 0.8580
0.6047 0.1420 0.1420
0.6231 0.1375 0.6231
0.6231 0.6231 0.1375
0.8580 0.3953 0.8580
0.8580 0.8580 0.3953
0.8625 0.3769 0.3769
```

=====

RbLa2As2 | GGA-PBE | relaxed

Values from the calculation:
The value obtained for the final energy is -4.92 eV per atom. Its calculated formation energy is -0.900 eV/atom. The value obtained for the distance to the lowest polymorph of the same formula is 0.0 kJ per mole of atoms. The value obtained for the total magnetization is 0.0 μB per cell. As for the crystal system: tetragonal. Its symmetry is P4/mbm.

The structure in POSCAR format:
```
RbLa2As2
1.0
8.7123 0.0000 0.0000
0.0000 8.7123 0.0000
0.0000 0.0000 3.9495
Rb La As
2 4 4
direct
0.0000 0.0000 0.0000
0.5000 0.5000 0.0000
0.1420 0.3580 0.5000
0.3580 0.8580 0.5000
0.6420 0.1420 0.5000
0.8580 0.6420 0.5000
0.1515 0.6515 0.0000
0.3485 0.1515 0.0000
0.6515 0.8485 0.0000
0.8485 0.3485 0.0000
```

=====

CaYTm2As4 | GGA-PBE | relaxed

Values from the calculation:
The value obtained for the final energy is -5.86 eV per atom. Its calculated formation energy is -1.364 eV/atom. The value obtained for the total magnetization is 0.0 μB per cell. As for the crystal system: monoclinic. Its symmetry is P2/m.

The structure in POSCAR format:
```
CaYTm2As4
1.0
7.1420 0.0000 0.0000
0.0000 4.1016 0.0000
-2.3583 0.0000 6.7607
Ca Y Tm As
1 1 2 4
direct
0.0000 0.0000 0.0000
0.5000 0.5000 0.0000
0.0000 0.5000 0.5000
0.5000 0.0000 0.5000
0.2510 0.0000 0.7432
0.2576 0.5000 0.2607
0.7424 0.5000 0.7393
0.7490 0.0000 0.2568
```